<a>
8
Lattice="-3.502 3.502 1.934 3.502 -3.502 1.934 3.502 3.502 -1.934" Properties=species:S:1:pos:R:3 comment="NbB2F PBE optimized geometry" dos_ef_per_ev_cell=3.91 magmom_total_mub_per_atom=0.000 pbc="T T T"
Nb 0.000 0.000 0.000
Nb 0.000 3.502 0.967
B 5.253 1.537 -0.483
B 1.537 1.751 0.483
B -1.751 1.964 1.450
B 1.964 1.751 2.417
F 3.502 0.000 0.967
F 0.000 0.000 1.934

***

<b>
4
Lattice="0.000 2.801 2.801 2.801 0.000 2.801 2.801 2.801 0.000" Properties=species:S:1:pos:R:3 comment="NbB2F PBE optimized geometry" dos_ef_per_ev_cell=2.08 magmom_total_mub_per_atom=0.000 pbc="T T T"
Nb 0.000 0.000 0.000
B 1.401 1.401 1.401
B 4.202 4.202 4.202
F 2.801 2.801 2.801

***

Which structure loses on stability? <b> does.

***

<a>
5
Lattice="4.239 0.000 0.000 0.000 4.239 0.000 0.000 0.000 3.959" Properties=species:S:1:pos:R:3 comment="NbBOF2 PBE optimized geometry" dos_ef_per_ev_cell=2.53 magmom_total_mub_per_atom=0.399 pbc="T T T"
Nb 0.000 0.000 0.000
B 2.120 2.120 1.980
O 0.000 0.000 1.980
F 0.000 2.120 0.000
F 2.120 0.000 0.000

***

<b>
5
Lattice="4.592 0.000 0.000 0.000 4.592 0.000 0.000 0.000 2.623" Properties=species:S:1:pos:R:3 comment="NbBOF2 PBE optimized geometry" dos_ef_per_ev_cell=2.43 magmom_total_mub_per_atom=0.339 pbc="T T T"
Nb 0.000 0.000 0.000
B 2.296 2.296 1.311
O 2.296 2.296 0.000
F 0.000 2.296 1.311
F 2.296 0.000 1.311

***

Which structure loses on stability? <a> does.

***

<a>
5
Lattice="3.973 0.000 0.000 0.000 3.973 0.000 0.000 0.000 4.488" Properties=species:S:1:pos:R:3 comment="NbBS2F PBE optimized geometry" dos_ef_per_ev_cell=4.55 magmom_total_mub_per_atom=0.001 pbc="T T T"
Nb 0.000 0.000 0.000
B 0.000 0.000 2.244
S 0.000 1.987 2.244
S 1.987 0.000 2.244
F 1.987 1.987 0.000

***

<b>
5
Lattice="4.827 0.000 0.000 0.000 4.827 0.000 0.000 0.000 4.063" Properties=species:S:1:pos:R:3 comment="NbBS2F PBE optimized geometry" dos_ef_per_ev_cell=2.64 magmom_total_mub_per_atom=0.000 pbc="T T T"
Nb 0.000 0.000 0.000
B 2.413 2.413 2.032
S 0.000 2.413 0.000
S 2.413 0.000 0.000
F 0.000 0.000 2.032

***

Which structure loses on stability? <a> does.

***

<a>
6
Lattice="1.759 1.016 8.562 -1.759 1.016 8.562 0.000 -2.031 8.562" Properties=species:S:1:pos:R:3 comment="NdBF PBE optimized geometry" dos_ef_per_ev_cell=1.69 magmom_total_mub_per_atom=0.000 pbc="T T T"
Nd 0.000 0.000 1.937
Nd 0.000 0.000 23.748
B 0.000 0.000 8.621
B 0.000 0.000 17.064
F 0.000 0.000 5.287
F 0.000 0.000 20.398

***

<b>
6
Lattice="-1.582 1.991 8.420 1.582 -1.991 8.420 1.582 1.991 -8.420" Properties=species:S:1:pos:R:3 comment="NdBF PBE optimized geometry" dos_ef_per_ev_cell=1.66 magmom_total_mub_per_atom=0.000 pbc="T T T"
Nd 0.000 0.000 2.468
Nd 0.000 0.000 14.372
B 0.779 0.000 0.000
B 2.385 0.000 0.000
F 0.000 0.000 5.320
F 0.000 0.000 11.520

***

Which structure loses on stability? <b> does.